1.
Material: CsBa2HfSi
Method: DFT, PBE-GGA
State: relaxed

## Properties
**Uncorrected formation energy**: 1.563 eV per atom

Structure (CIF):
```
data_CsBa2HfSi
_chemical_formula_sum 'Cs1 Ba2 Hf1 Si1'
_space_group_name_H-M_alt 'P 1'
_space_group_IT_number 1
_cell_length_a 6.302
_cell_length_b 5.482
_cell_length_c 6.302
_cell_angle_alpha 90.00
_cell_angle_beta 90.00
_cell_angle_gamma 90.00
loop_
_space_group_symop_operation_xyz
'x,y,z'
loop_
_atom_site_label
_atom_site_type_symbol
_atom_site_fract_x
_atom_site_fract_y
_atom_site_fract_z
Si1 Si 0.500 0.500 0.500
Cs1 Cs 0.000 0.000 0.000
Ba1 Ba 0.500 0.000 0.000
Ba2 Ba 0.000 0.000 0.500
Hf1 Hf 0.000 0.500 0.000
```

2.
Material: Cs2Ba2Hg
Method: DFT, PBE-GGA
State: relaxed

Structure (CIF):
```
data_Cs2Ba2Hg
_chemical_formula_sum 'Cs4 Ba4 Hg2'
_space_group_name_H-M_alt 'P 1'
_space_group_IT_number 1
_cell_length_a 9.191
_cell_length_b 9.191
_cell_length_c 8.173
_cell_angle_alpha 90.00
_cell_angle_beta 90.00
_cell_angle_gamma 90.00
loop_
_space_group_symop_operation_xyz
'x,y,z'
loop_
_atom_site_label
_atom_site_type_symbol
_atom_site_fract_x
_atom_site_fract_y
_atom_site_fract_z
Hg1 Hg 0.000 0.000 0.000
Hg2 Hg 0.500 0.500 0.000
Ba1 Ba 0.173 0.327 0.000
Ba2 Ba 0.827 0.673 0.000
Ba3 Ba 0.673 0.173 0.000
Ba4 Ba 0.327 0.827 0.000
Cs1 Cs 0.681 0.819 0.500
Cs2 Cs 0.819 0.319 0.500
Cs3 Cs 0.319 0.181 0.500
Cs4 Cs 0.181 0.681 0.500
```

For reference, energy by record: -2.452, -1.183 eV per atom.
For reference, density of states at the Fermi level by record: 6.1, 10.0 states/eV/cell.
For reference, mass density by record: 4.68, 3.56 g/cm3.